Record 1
Compound: Sb2TeAsPb
Source: the Alexandria database
Functional: PBE
Structure: relaxed

Output
ΔE to the lowest computed polymorph	705	meV per atom
E	-2.817	eV per atom
E_form (uncorrected)	1.132	eV/atom

a = 5.7710 Å, b = 5.7710 Å, c = 5.6838 Å
α = 90.00°, β = 90.00°, γ = 90.00°
Fractional coordinates of all 5 atoms:
Pb (0.0000, 0.0000, 0.0000)
Sb (0.0000, 0.5000, 0.0000)
Sb (0.5000, 0.0000, 0.0000)
Te (0.0000, 0.0000, 0.5000)
As (0.5000, 0.5000, 0.5000)



Record 2
Compound: Sb2TeAsPb
Source: the Alexandria database
Functional: PBE
Structure: relaxed

Output
ΔE to the lowest computed polymorph	0	meV per atom
E	-3.522	eV per atom
E_form (uncorrected)	0.427	eV/atom

a = 5.3548 Å, b = 5.3548 Å, c = 5.6126 Å
α = 90.00°, β = 90.00°, γ = 90.00°
Fractional coordinates of all 5 atoms:
Pb (0.5000, 0.5000, 0.5000)
Sb (0.0000, 0.5000, 0.0000)
Sb (0.5000, 0.0000, 0.0000)
As (0.0000, 0.0000, 0.0000)
Te (0.0000, 0.0000, 0.5000)